Cs2BaCoBr6: optimized geometry, GGA-PBE.

Results
DFT total energy = -34.89 eV for the cell shown
Spin magnetization = 3.00 Bohr magnetons per cell
Calculated density = 3.67 Mg/m³
Energy above the most stable polymorph in this dataset = 0 meV/atom
Raw formation energy = -14.114 eV per formula unit

```
Cs2BaCoBr6
1.0
7.9911 0.0000 0.0000
-3.9955 6.9205 0.0000
0.0000 0.0000 7.7131
Cs Ba Co Br
2 1 1 6
Direct
0.3333 0.6667 0.1575 Cs
0.6667 0.3333 0.8425 Cs
0.0000 0.0000 0.5000 Ba
0.0000 0.0000 0.0000 Co
0.1571 0.3143 0.8033 Br
0.1571 0.8429 0.8033 Br
0.3143 0.1571 0.1967 Br
0.6857 0.8429 0.8033 Br
0.8429 0.1571 0.1967 Br
0.8429 0.6857 0.1967 Br
```

---

Pm2SiBr: optimized geometry, GGA-PBE.

Results
DFT total energy = -19.89 eV for the cell shown
Spin magnetization = 0.00 Bohr magnetons per cell
Calculated density = 6.62 Mg/m³
Energy above the most stable polymorph in this dataset = 253 meV/atom
Raw formation energy = -3.297 eV per formula unit

```
Pm2SiBr
1.0
3.5275 0.0000 0.0000
0.0000 3.5275 0.0000
0.0000 0.0000 8.0202
Pm Si Br
2 1 1
Direct
0.0000 0.0000 0.2240 Pm
0.0000 0.0000 0.7760 Pm
0.5000 0.5000 0.0000 Si
0.5000 0.5000 0.5000 Br
```